a | FeCoNiMo | GGA-PBE | optimized geometry

Geometry as POSCAR:
```
FeCoNiMo
1.0
0.000 2.888 2.888
2.888 0.000 2.888
2.888 2.888 0.000
Fe Co Ni Mo
1 1 1 1
direct
0.000 0.000 0.000
0.500 0.500 0.500
0.250 0.250 0.250
0.750 0.750 0.750
```

## Properties
SG = No. 216

b | FeCoNiMo | GGA-PBE | optimized geometry

Geometry as POSCAR:
```
FeCoNiMo
1.0
-1.809 1.809 3.669
1.809 -1.809 3.669
1.809 1.809 -3.669
Fe Co Ni Mo
1 1 1 1
direct
0.000 0.000 0.000
0.250 0.750 0.500
0.750 0.250 0.500
0.500 0.500 0.000
```

## Properties
SG = No. 119

Which structure loses on stability? a does.

a | Fe2CoN2 | GGA-PBE | optimized geometry

Geometry as POSCAR:
```
Fe2CoN2
1.0
-1.411 1.411 5.792
1.411 -1.411 5.792
1.411 1.411 -5.792
Fe Co N
2 1 2
direct
0.159 0.159 0.000
0.841 0.841 0.000
0.500 0.500 0.000
0.340 0.340 0.000
0.660 0.660 0.000
```

## Properties
SG = No. 139

b | Fe2CoN2 | GGA-PBE | optimized geometry

Geometry as POSCAR:
```
Fe2CoN2
1.0
2.531 -1.762 0.000
2.531 1.762 0.000
-0.991 0.000 5.176
Fe Co N
2 1 2
direct
0.148 0.148 0.334
0.852 0.852 0.666
0.500 0.500 0.000
0.226 0.226 0.713
0.774 0.774 0.287
```

## Properties
SG = No. 12

Which structure loses on stability? b does.